Material: Pu2UGa
Method: DFT, GGA-PBE
State: relaxed

Results
The polymorph energy (0 for the lowest one) comes out at 108 meV/atom.

a = 3.7023 Å, b = 3.7023 Å, c = 6.2569 Å
α = 90.00°, β = 90.00°, γ = 90.00°
Atoms (fractional coordinates):
Pu (0.0000, 0.0000, 0.2435)
Pu (0.0000, 0.0000, 0.7565)
U (0.5000, 0.5000, 0.5000)
Ga (0.5000, 0.5000, 0.0000)


Material: PmDy6Ho5
Method: DFT, GGA-PBE
State: relaxed

Results
As for the total energy: -55.05 eV per formula unit.

a = 6.1317 Å, b = 6.1317 Å, c = 11.7423 Å
α = 94.98°, β = 94.98°, γ = 119.96°
Atoms (fractional coordinates):
Pm (0.0000, 0.0000, 0.0000)
Dy (0.0833, 0.4171, 0.2513)
Dy (0.2506, 0.2506, 0.7489)
Dy (0.4171, 0.0833, 0.2513)
Dy (0.5829, 0.9167, 0.7487)
Dy (0.7494, 0.7494, 0.2511)
Dy (0.9167, 0.5829, 0.7487)
Ho (0.1669, 0.8331, 0.5000)
Ho (0.3333, 0.6667, 0.0000)
Ho (0.5000, 0.5000, 0.5000)
Ho (0.6667, 0.3333, 0.0000)
Ho (0.8331, 0.1669, 0.5000)


Material: Sr4Li3Au2
Method: DFT, GGA-PBE
State: relaxed

Results
As for the total energy: -22.29 eV per formula unit.

a = 9.2133 Å, b = 9.2133 Å, c = 7.3801 Å
α = 107.31°, β = 107.31°, γ = 28.69°
Atoms (fractional coordinates):
Sr (0.0666, 0.0666, 0.3378)
Sr (0.2696, 0.2696, 0.7951)
Sr (0.7304, 0.7304, 0.2049)
Sr (0.9334, 0.9334, 0.6622)
Li (0.3999, 0.3999, 0.2596)
Li (0.5000, 0.5000, 0.0000)
Li (0.6001, 0.6001, 0.7404)
Au (0.1110, 0.1110, 0.9426)
Au (0.8890, 0.8890, 0.0574)


Material: CaLuIr
Method: DFT, GGA-PBE
State: relaxed

Results
The polymorph energy (0 for the lowest one) comes out at 8 meV/atom.

a = 6.9523 Å, b = 6.9523 Å, c = 6.9523 Å
α = 151.73°, β = 151.73°, γ = 40.40°
Atoms (fractional coordinates):
Ca (0.0000, 0.0000, 0.0000)
Lu (0.2554, 0.2554, 0.0000)
Ir (0.6447, 0.6447, 0.0000)


Material: VCdCuPt
Method: DFT, GGA-PBE
State: relaxed

Results
As for the total energy: -20.34 eV per formula unit.

a = 4.4335 Å, b = 4.4335 Å, c = 4.4335 Å
α = 60.00°, β = 60.00°, γ = 60.00°
Atoms (fractional coordinates):
V (0.0000, 0.0000, 0.0000)
Cd (0.5000, 0.5000, 0.5000)
Cu (0.7500, 0.7500, 0.7500)
Pt (0.2500, 0.2500, 0.2500)


Material: LaPuTlAg
Method: DFT, GGA-PBE
State: relaxed

Results
As for the total energy: -24.88 eV per formula unit.

a = 5.4373 Å, b = 5.4373 Å, c = 5.4373 Å
α = 60.00°, β = 60.00°, γ = 60.00°
Atoms (fractional coordinates):
La (0.0000, 0.0000, 0.0000)
Pu (0.5000, 0.5000, 0.5000)
Tl (0.7500, 0.7500, 0.7500)
Ag (0.2500, 0.2500, 0.2500)


Material: LiHgCl2
Method: DFT, GGA-PBE
State: relaxed

Results
The polymorph energy (0 for the lowest one) comes out at 28 meV/atom. The value obtained for the uncorrected formation energy is -0.93 eV per atom.

a = 4.0683 Å, b = 4.0683 Å, c = 6.1730 Å
α = 90.00°, β = 90.00°, γ = 97.45°
Atoms (fractional coordinates):
Li (0.0000, 0.0000, 0.0000)
Hg (0.5000, 0.5000, 0.4458)
Cl (0.0000, 0.0000, 0.4004)
Cl (0.5000, 0.5000, 0.9352)


Material: BaNaLi2H
Method: DFT, GGA-PBE
State: relaxed

Results
As for the total energy: -10.22 eV per formula unit.

a = 5.1613 Å, b = 5.1613 Å, c = 5.2967 Å
α = 90.00°, β = 90.00°, γ = 90.00°
Atoms (fractional coordinates):
Ba (0.0000, 0.0000, 0.0000)
Na (0.5000, 0.5000, 0.0000)
Li (0.0000, 0.5000, 0.5000)
Li (0.5000, 0.0000, 0.5000)
H (0.0000, 0.0000, 0.5000)


Number 1: size of the total moment 10.756 μB per formula unit, mass density 15.41 g/cm³. Number 2: size of the total moment 0.000 μB per formula unit, mass density 8.57 g/cm³. Number 3: size of the total moment 0.000 μB per formula unit, mass density 4.44 g/cm³. Number 4: size of the total moment 0.001 μB per formula unit, mass density 8.99 g/cm³. Number 5: size of the total moment 0.000 μB per formula unit, mass density 11.37 g/cm³. Number 6: size of the total moment 5.998 μB per formula unit, mass density 10.16 g/cm³. Number 7: size of the total moment 0.000 μB per formula unit, mass density 4.56 g/cm³. Number 8: size of the total moment 0.000 μB per formula unit, mass density 2.06 g/cm³.